# 1
Entry from Alexandria: an optimized crystal structure of PrMgBi2O6 (PBE).

a = 8.598 Å, b = 6.458 Å, c = 5.782 Å
α = 90.00°, β = 90.00°, γ = 90.00°
Sites, in units of the cell vectors:
Pr  0.000  0.171  0.000
Pr  0.500  0.829  0.500
Mg  0.000  0.908  0.491
Mg  0.500  0.092  0.991
Bi  0.240  0.722  0.968
Bi  0.260  0.278  0.468
Bi  0.740  0.278  0.468
Bi  0.760  0.722  0.968
O  0.000  0.221  0.593
O  0.000  0.810  0.818
O  0.173  0.959  0.265
O  0.187  0.416  0.125
O  0.313  0.584  0.625
O  0.327  0.041  0.765
O  0.500  0.190  0.318
O  0.500  0.779  0.093
O  0.673  0.041  0.765
O  0.687  0.584  0.625
O  0.813  0.416  0.125
O  0.827  0.959  0.265

## Properties
Total magnetization   0.00 μB/cell
E   -6.290 eV per atom
Crystal system   orthorhombic
Space-group type   No. 31

# 2
Entry from Alexandria: an optimized crystal structure of PrMgBi2O6 (PBE).

a = 5.843 Å, b = 5.843 Å, c = 8.605 Å
α = 90.00°, β = 90.00°, γ = 90.00°
Sites, in units of the cell vectors:
Pr  0.000  0.000  0.000
Pr  0.500  0.500  0.500
Mg  0.000  0.000  0.500
Mg  0.500  0.500  0.000
Bi  0.000  0.500  0.250
Bi  0.000  0.500  0.750
Bi  0.500  0.000  0.250
Bi  0.500  0.000  0.750
O  0.000  0.000  0.266
O  0.000  0.000  0.734
O  0.132  0.333  0.500
O  0.167  0.368  0.000
O  0.333  0.868  0.500
O  0.368  0.833  0.000
O  0.500  0.500  0.234
O  0.500  0.500  0.766
O  0.632  0.167  0.000
O  0.667  0.132  0.500
O  0.833  0.632  0.000
O  0.868  0.667  0.500

## Properties
Total magnetization   1.98 μB/cell
E   -5.948 eV per atom
Crystal system   tetragonal
Space-group type   No. 128

# 3
Entry from Alexandria: an optimized crystal structure of PrMgBi2O6 (PBE).

a = 5.969 Å, b = 5.969 Å, c = 5.969 Å
α = 60.00°, β = 60.00°, γ = 60.00°
Sites, in units of the cell vectors:
Pr  0.000  0.000  0.000
Mg  0.500  0.500  0.500
Bi  0.250  0.250  0.250
Bi  0.750  0.750  0.750
O  0.266  0.266  0.734
O  0.266  0.734  0.266
O  0.266  0.734  0.734
O  0.734  0.266  0.266
O  0.734  0.266  0.734
O  0.734  0.734  0.266

## Properties
Total magnetization   1.08 μB/cell
E   -5.641 eV per atom
Crystal system   cubic
Space-group type   No. 225

# 4
Entry from Alexandria: an optimized crystal structure of SrPrMgBiO6 (PBE).

a = 5.791 Å, b = 5.791 Å, c = 5.791 Å
α = 60.00°, β = 60.00°, γ = 60.00°
Sites, in units of the cell vectors:
Sr  0.000  0.000  0.000
Pr  0.500  0.500  0.500
Mg  0.750  0.750  0.750
Bi  0.250  0.250  0.250
O  0.504  0.504  0.996
O  0.504  0.996  0.504
O  0.504  0.996  0.996
O  0.996  0.504  0.504
O  0.996  0.504  0.996
O  0.996  0.996  0.504

## Properties
Total magnetization   0.00 μB/cell
E   -6.327 eV per atom
Crystal system   cubic
Space-group type   No. 216

# 5
Entry from Alexandria: an optimized crystal structure of MgBi2PtO (PBE).

a = 5.322 Å, b = 5.322 Å, c = 4.958 Å
α = 90.00°, β = 90.00°, γ = 90.00°
Sites, in units of the cell vectors:
Mg  0.000  0.000  0.000
Bi  0.000  0.500  0.500
Bi  0.500  0.000  0.500
Pt  0.000  0.000  0.500
O  0.500  0.500  0.000

## Properties
Total magnetization   0.00 μB/cell
E   -3.702 eV per atom
Crystal system   tetragonal
Space-group type   No. 123

# 6
Entry from Alexandria: an optimized crystal structure of PuMgBi2O (PBE).

a = 3.798 Å, b = 3.798 Å, c = 18.572 Å
α = 90.00°, β = 90.00°, γ = 90.00°
Sites, in units of the cell vectors:
Pu  0.250  0.250  0.067
Pu  0.750  0.750  0.933
Mg  0.250  0.250  0.657
Mg  0.750  0.750  0.343
Bi  0.250  0.250  0.432
Bi  0.250  0.250  0.814
Bi  0.750  0.750  0.186
Bi  0.750  0.750  0.568
O  0.250  0.750  0.000
O  0.750  0.250  0.000

## Properties
Total magnetization   10.04 μB/cell
E   -6.827 eV per atom
Crystal system   tetragonal
Space-group type   No. 129

# 7
Entry from Alexandria: an optimized crystal structure of PuMgBi2O6 (PBE).

a = 5.682 Å, b = 6.055 Å, c = 9.987 Å
α = 90.00°, β = 124.61°, γ = 90.00°
Sites, in units of the cell vectors:
Pu  0.000  0.000  0.000
Pu  0.000  0.500  0.500
Mg  0.500  0.000  0.500
Mg  0.500  0.500  0.000
Bi  0.259  0.043  0.749
Bi  0.259  0.457  0.249
Bi  0.741  0.543  0.751
Bi  0.741  0.957  0.251
O  0.130  0.045  0.257
O  0.130  0.455  0.757
O  0.239  0.685  0.059
O  0.239  0.815  0.559
O  0.385  0.188  0.058
O  0.385  0.312  0.558
O  0.615  0.688  0.442
O  0.615  0.812  0.942
O  0.761  0.185  0.441
O  0.761  0.315  0.941
O  0.870  0.545  0.243
O  0.870  0.955  0.743

## Properties
Total magnetization   8.00 μB/cell
E   -7.334 eV per atom
Crystal system   monoclinic
Space-group type   No. 14

# 8
Entry from Alexandria: an optimized crystal structure of RbMgBiO3 (PBE).

a = 7.382 Å, b = 3.546 Å, c = 9.503 Å
α = 90.00°, β = 98.96°, γ = 90.00°
Sites, in units of the cell vectors:
Rb  0.077  0.250  0.304
Rb  0.923  0.750  0.696
Mg  0.351  0.250  0.992
Mg  0.649  0.750  0.008
Bi  0.388  0.250  0.668
Bi  0.612  0.750  0.332
O  0.194  0.250  0.806
O  0.261  0.750  0.547
O  0.399  0.750  0.090
O  0.601  0.250  0.910
O  0.739  0.250  0.453
O  0.806  0.750  0.194

## Properties
Total magnetization   0.00 μB/cell
E   -5.188 eV per atom
Crystal system   monoclinic
Space-group type   No. 11

# 9
Entry from Alexandria: an optimized crystal structure of Rb2MgBiO4 (PBE).

a = 11.911 Å, b = 10.309 Å, c = 7.229 Å
α = 83.58°, β = 59.33°, γ = 37.09°
Sites, in units of the cell vectors:
Rb  0.055  0.055  0.695
Rb  0.305  0.305  0.945
Rb  0.695  0.695  0.055
Rb  0.945  0.945  0.305
Mg  0.125  0.125  0.125
Mg  0.875  0.875  0.875
Bi  0.375  0.375  0.375
Bi  0.625  0.625  0.625
O  0.031  0.312  0.397
O  0.239  0.603  0.688
O  0.312  0.031  0.761
O  0.397  0.761  0.031
O  0.603  0.239  0.969
O  0.688  0.969  0.239
O  0.761  0.397  0.312
O  0.969  0.688  0.603

## Properties
Total magnetization   1.78 μB/cell
E   -4.776 eV per atom
Crystal system   orthorhombic
Space-group type   No. 70

# 10
Entry from Alexandria: an optimized crystal structure of MgReBi2O6 (PBE).

a = 5.659 Å, b = 7.999 Å, c = 5.885 Å
α = 90.00°, β = 90.00°, γ = 90.00°
Sites, in units of the cell vectors:
Mg  0.250  0.250  0.250
Mg  0.750  0.750  0.750
Re  0.250  0.750  0.249
Re  0.750  0.250  0.751
Bi  0.250  0.552  0.748
Bi  0.250  0.948  0.748
Bi  0.750  0.052  0.252
Bi  0.750  0.448  0.252
O  0.030  0.750  0.521
O  0.030  0.750  0.978
O  0.250  0.507  0.251
O  0.250  0.993  0.251
O  0.470  0.750  0.521
O  0.470  0.750  0.978
O  0.530  0.250  0.022
O  0.530  0.250  0.479
O  0.750  0.007  0.749
O  0.750  0.493  0.749
O  0.970  0.250  0.022
O  0.970  0.250  0.479

## Properties
Total magnetization   3.28 μB/cell
E   -6.554 eV per atom
Crystal system   orthorhombic
Space-group type   No. 59

# 11
Entry from Alexandria: an optimized crystal structure of Mg2BiRhO6 (PBE).

a = 5.685 Å, b = 5.685 Å, c = 5.685 Å
α = 56.06°, β = 56.06°, γ = 56.06°
Sites, in units of the cell vectors:
Mg  0.000  0.000  0.000
Mg  0.491  0.491  0.491
Bi  0.208  0.208  0.208
Rh  0.696  0.696  0.696
O  0.087  0.790  0.414
O  0.303  0.627  0.875
O  0.414  0.087  0.790
O  0.627  0.875  0.303
O  0.790  0.414  0.087
O  0.875  0.303  0.627

## Properties
Total magnetization   0.00 μB/cell
E   -5.996 eV per atom
Crystal system   trigonal
Space-group type   No. 146

# 12
Entry from Alexandria: an optimized crystal structure of MgBiRhO6 (PBE).

a = 5.383 Å, b = 5.383 Å, c = 8.795 Å
α = 90.00°, β = 90.00°, γ = 120.00°
Sites, in units of the cell vectors:
Mg  0.000  0.000  0.000
Mg  0.000  0.000  0.500
Bi  0.333  0.667  0.250
Bi  0.667  0.333  0.750
Rh  0.333  0.667  0.750
Rh  0.667  0.333  0.250
O  0.029  0.359  0.626
O  0.029  0.670  0.874
O  0.330  0.359  0.874
O  0.330  0.971  0.626
O  0.359  0.029  0.126
O  0.359  0.330  0.374
O  0.641  0.670  0.626
O  0.641  0.971  0.874
O  0.670  0.029  0.374
O  0.670  0.641  0.126
O  0.971  0.330  0.126
O  0.971  0.641  0.374

## Properties
Total magnetization   1.68 μB/cell
E   -5.814 eV per atom
Crystal system   trigonal
Space-group type   No. 163